# 1
SiTePS2: relaxed, PBE-GGA.

Calculated values
Uncorrected energy   -4.038 eV/atom
SG   P4/mmm, No. 123
Calculated density   4.3 g/cm3
Formation energy from raw total energies   408 meV per atom
Size of the total moment   0.0 μB per cell
Calculated volume   95.7 Å³ per cell

Cell lengths 4.4900, 4.4900, 4.7494 Å; angles 90.00, 90.00, 90.00 degrees
Closest atoms and distances in Å follow each position.
Fractional positions:
P  0.0000  0.0000  0.5000  2 Si 2.37
S  0.0000  0.5000  0.0000  2 Si 2.24
S  0.5000  0.0000  0.0000  2 Si 2.24
Te  0.5000  0.5000  0.5000  4 P 3.17, 8 S 3.27
Si  0.0000  0.0000  0.0000  4 S 2.24, 2 P 2.37

***

# 2
CdAg2Au3: relaxed, PBE-GGA.

Calculated values
Uncorrected energy   -2.768 eV/atom
E_form   -0.027 eV/atom
SG   C2/c, No. 15
Calculated density   13.4 g/cm3
Size of the total moment   0.0 μB per cell
Calculated volume   227.7 Å³ per cell

Cell lengths 6.0197, 6.1890, 6.1890 Å; angles 81.32, 87.86, 87.86 degrees
Closest atoms and distances in Å follow each position.
Fractional positions:
Cd  0.7500  0.9242  0.0758  5 Au 2.87-2.94, 4 Ag 2.90-3.00
Cd  0.2500  0.0758  0.9242  5 Au 2.87-2.94, 4 Ag 2.90-3.00
Ag  0.6303  0.1245  0.6211  6 Au 2.85-2.95, 2 Ag 2.85, 2 Cd 2.90-3.00
Ag  0.1303  0.6211  0.1245  6 Au 2.85-2.95, 2 Ag 2.85, 2 Cd 2.90-3.00
Ag  0.8697  0.3789  0.8755  6 Au 2.85-2.95, 2 Ag 2.85, 2 Cd 2.90-3.00
Ag  0.3697  0.8755  0.3789  6 Au 2.85-2.95, 2 Ag 2.85, 2 Cd 2.90-3.00
Au  0.2500  0.4314  0.5686  4 Au 2.83-2.95, 1 Cd 2.87, 4 Ag 2.91-2.93
Au  0.7500  0.5686  0.4314  4 Au 2.83-2.95, 1 Cd 2.87, 4 Ag 2.91-2.93
Au  0.9947  0.8171  0.6831  3 Au 2.83-2.95, 4 Ag 2.85-2.95, 2 Cd 2.87-2.94
Au  0.5053  0.3169  0.1829  3 Au 2.83-2.95, 4 Ag 2.85-2.95, 2 Cd 2.87-2.94
Au  0.4947  0.6831  0.8171  3 Au 2.83-2.95, 4 Ag 2.85-2.95, 2 Cd 2.87-2.94
Au  0.0053  0.1829  0.3169  3 Au 2.83-2.95, 4 Ag 2.85-2.95, 2 Cd 2.87-2.94

***

# 3
CaPuPb: relaxed, PBE-GGA.

Calculated values
Uncorrected energy   -6.748 eV/atom
E_form   -0.067 eV/atom
SG   P3m1, No. 156
Calculated density   8.9 g/cm3
Size of the total moment   6.4 μB per cell
Calculated volume   91.8 Å³ per cell

Cell lengths 3.6084, 5.4187, 5.4187 Å; angles 120.00, 90.00, 90.00 degrees
Closest atoms and distances in Å follow each position.
Fractional positions:
Pb  0.0015  0.0000  0.0000  3 Pu 3.29, 3 Ca 3.30, 2 Pb 3.61
Ca  0.7132  0.3333  0.6667  3 Pb 3.30, 3 Pu 3.49, 2 Ca 3.61
Pu  0.2853  0.6667  0.3333  3 Pb 3.29, 3 Ca 3.49, 2 Pu 3.61

***

# 4
CdAs: relaxed, PBE-GGA.

Calculated values
Uncorrected energy   -2.510 eV/atom
E_form   0.272 eV/atom
SG   Pm-3m, No. 221
Calculated density   7.2 g/cm3
Size of the total moment   0.0 μB per cell
Calculated volume   43.0 Å³ per cell

Cell lengths 3.5025, 3.5025, 3.5025 Å; angles 90.00, 90.00, 90.00 degrees
Closest atoms and distances in Å follow each position.
Fractional positions:
As  0.0000  0.0000  0.0000  8 Cd 3.03
Cd  0.5000  0.5000  0.5000  8 As 3.03

***

# 5
MgFe2Ni2: relaxed, PBE-GGA.

Calculated values
Uncorrected energy   -5.890 eV/atom
E_form   0.127 eV/atom
SG   I4/mmm, No. 139
Calculated density   6.0 g/cm3
Size of the total moment   6.7 μB per cell
Calculated volume   70.1 Å³ per cell

Cell lengths 3.6246, 3.6246, 5.9208 Å; angles 72.18, 72.18, 90.00 degrees
Closest atoms and distances in Å follow each position.
Fractional positions:
Ni  0.3940  0.3940  0.2120  1 Ni 2.26, 4 Fe 2.38
Ni  0.6060  0.6060  0.7880  1 Ni 2.26, 4 Fe 2.38
Mg  0.0000  0.0000  0.0000  8 Ni 2.80
Fe  0.7500  0.2500  0.5000  4 Ni 2.38, 4 Fe 2.56
Fe  0.2500  0.7500  0.5000  4 Ni 2.38, 4 Fe 2.56

***

# 6
InSbP2: relaxed, PBE-GGA.

Calculated values
Uncorrected energy   -4.320 eV/atom
SG   Cm, No. 8
Calculated density   5.2 g/cm3
Formation energy from raw total energies   101 meV per atom
Size of the total moment   0.0 μB per cell
Calculated volume   94.7 Å³ per cell

Cell lengths 4.4469, 4.4469, 7.1883 Å; angles 75.79, 75.79, 43.70 degrees
Closest atoms and distances in Å follow each position.
Fractional positions:
In  0.7291  0.7291  0.7821  3 P 2.74-3.01
P  0.9420  0.9420  0.0166  2 P 2.23
P  0.3309  0.3309  0.2179  2 P 2.23
Sb  0.4980  0.4980  0.4834  1 P 2.63

***

# 7
TaTlCl2: relaxed, PBE-GGA.

Calculated values
Uncorrected energy   -4.879 eV/atom
SG   Cm, No. 8
Calculated density   7.1 g/cm3
Formation energy from raw total energies   -401 meV per atom
Size of the total moment   0.8 μB per cell
Calculated volume   107.4 Å³ per cell

Cell lengths 6.7750, 6.7750, 6.6978 Å; angles 52.04, 52.04, 26.80 degrees
Closest atoms and distances in Å follow each position.
Fractional positions:
Tl  0.1889  0.1889  0.2465  3 Ta 3.04-3.09, 2 Tl 3.14
Cl  0.0112  0.0112  0.9206  2 Ta 2.49
Cl  0.8443  0.8443  0.6190  2 Ta 2.49
Ta  0.4555  0.4555  0.7140  4 Cl 2.49

***

# 8
AcEuI: relaxed, PBE-GGA.

Calculated values
Uncorrected energy   -5.902 eV/atom
SG   I4mm, No. 107
Calculated density   7.0 g/cm3
Formation energy from raw total energies   -591 meV per atom
Size of the total moment   7.2 μB per cell
Calculated volume   120.0 Å³ per cell

Cell lengths 3.9574, 3.9574, 8.1579 Å; angles 104.04, 104.04, 90.00 degrees
Closest atoms and distances in Å follow each position.
Fractional positions:
Eu  0.6798  0.6798  0.3596  4 I 3.64, 4 Eu 3.96, 4 Ac 4.05
I  0.3312  0.3312  0.6624  4 Eu 3.64, 4 Ac 3.70, 4 I 3.96
Ac  0.9890  0.9890  0.9780  4 I 3.70, 4 Ac 3.96, 4 Eu 4.05